Here is crystalline MnAlHPd2 at its relaxed geometry from the Alexandria database. Energies are from PBE.

Cell lengths 4.1160, 4.1160, 3.6231 Å; angles 90.00, 90.00, 90.00 degrees
Last column: nearest neighbours and their distance in Å.
Space group P4/mmm (No. 123)
Inequivalent atoms, fractional coordinates:
Mn  0.0000  0.0000  0.0000 x1  2 H 1.81
Al  0.5000  0.5000  0.0000 x1  8 Pd 2.74, 4 Mn 2.91
H  0.0000  0.0000  0.5000 x1  2 Mn 1.81
Pd  0.0000  0.5000  0.5000 x2  2 H 2.06

Summary:
- E_tot: -5.673 eV per atom
- N(E_F): 2.75 states/eV per cell